1) # NaCa3Be | Alexandria via LeMat-Bulk | PBE-GGA | relaxed
data_NaCa3Be
_chemical_formula_sum 'Na1 Ca3 Be1'
_symmetry_space_group_name_H-M 'P m -3 m'
_symmetry_Int_Tables_number 221
_symmetry_space_group_name_Hall '-P 4 2 3'
_cell_length_a 5.873
_cell_length_b 5.873
_cell_length_c 5.873
_cell_angle_alpha 90.00
_cell_angle_beta 90.00
_cell_angle_gamma 90.00
loop_
_atom_site_label
_atom_site_fract_x
_atom_site_fract_y
_atom_site_fract_z
Na1 0.000 0.000 0.000
Ca1 0.000 0.000 0.500
Be1 0.500 0.500 0.500
# Volume = 40.5 A^3/atom
# Crystal system = cubic
# Size of the total moment = 0.0 Bohr magnetons per cell

2) # NaCa3Be | Alexandria via LeMat-Bulk | PBE-GGA | relaxed
data_NaCa3Be
_chemical_formula_sum 'Na1 Ca3 Be1'
_symmetry_space_group_name_H-M 'P m -3 m'
_symmetry_Int_Tables_number 221
_symmetry_space_group_name_Hall '-P 4 2 3'
_cell_length_a 5.698
_cell_length_b 5.698
_cell_length_c 5.698
_cell_angle_alpha 90.00
_cell_angle_beta 90.00
_cell_angle_gamma 90.00
loop_
_atom_site_label
_atom_site_fract_x
_atom_site_fract_y
_atom_site_fract_z
Na1 0.000 0.000 0.000
Ca1 0.000 0.500 0.500
Be1 0.500 0.500 0.500
# Volume = 37.0 A^3/atom
# Crystal system = cubic
# Size of the total moment = 0.0 Bohr magnetons per cell

Preferred: 2); penalty for the next structure: 0.737 eV/atom.